Entry 1:
Compound: NaTi3Se6
Source: Alexandria via LeMat-Bulk
Functional: PBE
Structure: optimized geometry

Cell: 10.999 3.585 12.259 Å, 90.00 109.39 90.00°
Element x y z (fractional)
Na  0.169  0.250  0.489
Na  0.831  0.750  0.511
Ti  0.162  0.750  0.027
Ti  0.209  0.250  0.799
Ti  0.478  0.250  0.362
Ti  0.522  0.750  0.638
Ti  0.791  0.750  0.201
Ti  0.838  0.250  0.973
Se  0.026  0.250  0.880
Se  0.102  0.750  0.652
Se  0.279  0.250  0.167
Se  0.340  0.750  0.939
Se  0.351  0.750  0.432
Se  0.410  0.250  0.714
Se  0.590  0.750  0.286
Se  0.649  0.250  0.568
Se  0.660  0.250  0.061
Se  0.721  0.750  0.833
Se  0.898  0.250  0.348
Se  0.974  0.750  0.120

* magnetic moment: 0.0000 μB per atom
* formation energy from raw total energies: -1.0996 eV per atom

---

Entry 2:
Compound: K6Na2TlO
Source: Alexandria via LeMat-Bulk
Functional: PBE
Structure: optimized geometry

Cell: 8.020 8.088 8.126 Å, 88.93 71.01 71.30°
Element x y z (fractional)
K  0.000  0.000  0.000
K  0.007  0.881  0.552
K  0.042  0.539  0.872
K  0.572  0.176  0.890
K  0.594  0.828  0.197
K  0.611  0.723  0.741
Na  0.086  0.338  0.359
Na  0.551  0.364  0.407
Tl  0.316  0.123  0.595
O  0.805  0.855  0.878

* magnetic moment: 0.0000 μB per atom
* formation energy from raw total energies: -0.3226 eV per atom

---

Entry 3:
Compound: HfScH3
Source: Alexandria via LeMat-Bulk
Functional: PBE
Structure: optimized geometry

Cell: 3.693 3.693 3.693 Å, 90.00 90.00 90.00°
Element x y z (fractional)
Hf  0.000  0.000  0.000
Sc  0.500  0.500  0.500
H  0.000  0.500  0.500
H  0.500  0.000  0.500
H  0.500  0.500  0.000

* distance to the lowest polymorph of the same formula: 356.4 meV/atom
* magnetic moment: 0.0000 μB per atom